A plane-wave DFT calculation with GGA+U was carried out for a geometry-optimized Mn2CrIF structure.

Cell: 5.791 5.791 3.961 Å, 90.00 90.00 90.00°
Positions (direct):
Mn 0.000 0.500 0.000
Mn 0.500 0.000 0.000
Cr 0.000 0.000 0.000
I 0.500 0.500 0.500
F 0.000 0.000 0.500

Computed properties:
For the magnetic moment, the calculation gives 14.358 μB/f.u. For the raw total energy, the calculation gives -5.195 eV per atom. As for the space group: No. 123.

A plane-wave DFT calculation with GGA+U was carried out for a geometry-optimized La3VO structure.

Cell: 5.293 5.293 5.293 Å, 90.00 90.00 90.00°
Positions (direct):
La 0.000 0.000 0.500
La 0.000 0.500 0.000
La 0.500 0.000 0.000
V 0.000 0.000 0.000
O 0.500 0.500 0.500

Computed properties:
For the magnetic moment, the calculation gives 0.052 μB/f.u. For the raw total energy, the calculation gives -4.720 eV per atom. As for the space group: No. 221.